Entry 1:
Here is crystalline PrScTc at its relaxed geometry from the Alexandria database. Energies are from PBE.

Structure (extended XYZ):
```
12
Lattice="3.323 -6.267 0.000 3.323 6.267 0.000 0.000 0.000 7.356" Properties=species:S:1:pos:R:3 pbc="T T T"
Pr 3.323 3.825 6.538
Pr 3.323 2.442 2.861
Pr 3.323 -2.442 4.495
Pr 3.323 -3.825 0.817
Sc 1.662 0.493 5.517
Sc 1.662 -0.493 1.839
Sc 4.985 0.493 5.517
Sc 4.985 -0.493 1.839
Tc 3.323 5.071 3.876
Tc 3.323 1.196 0.198
Tc 3.323 -1.196 7.158
Tc 3.323 -5.071 3.480
```

Summary:
distance to the lowest polymorph of the same formula = 11.5 meV/atom
crystal system = orthorhombic
M_tot = 0.00 Bohr magnetons per cell
energy of formation = 0.11 eV per formula unit
space-group type = No. 64

=====

Entry 2:
Here is crystalline Na2Mg2F5 at its relaxed geometry from the Alexandria database. Energies are from PBE.

Structure (extended XYZ):
```
9
Lattice="6.032 -1.895 0.000 6.032 1.895 0.000 -1.372 0.000 5.983" Properties=species:S:1:pos:R:3 pbc="T T T"
Na 1.073 0.000 2.258
Na 9.620 0.000 3.725
Mg 4.194 0.000 0.713
Mg 6.499 0.000 5.269
F 0.780 0.000 5.913
F 3.399 0.000 2.454
F 6.032 0.000 0.000
F 7.294 0.000 3.529
F 9.913 0.000 0.070
```

Summary:
crystal system = monoclinic
M_tot = 0.00 Bohr magnetons per cell
E_form (uncorrected) = -2.825 eV per atom
space-group type = No. 12

=====

Entry 3:
Here is crystalline Pm5Sm12Sc2 at its relaxed geometry from the Alexandria database. Energies are from PBE.

Structure (extended XYZ):
```
19
Lattice="9.587 -3.705 0.000 9.587 3.705 0.000 -4.388 0.000 8.975" Properties=species:S:1:pos:R:3 pbc="T T T"
Pm 0.000 0.000 0.000
Pm 0.410 0.000 6.019
Pm 4.880 0.000 2.751
Pm 9.908 0.000 6.224
Pm 14.377 0.000 2.956
Sm -2.980 0.000 6.350
Sm 6.425 1.913 0.013
Sm 3.687 1.862 5.838
Sm 8.363 1.913 8.962
Sm 11.100 1.862 3.137
Sm 8.659 0.000 1.630
Sm 6.128 0.000 7.345
Sm 3.687 -1.862 5.838
Sm 6.425 -1.913 0.013
Sm 11.100 -1.862 3.137
Sm 8.363 -1.913 8.962
Sm 17.767 0.000 2.625
Sc 7.394 1.449 4.487
Sc 7.394 -1.449 4.487
```

Summary:
distance to the lowest polymorph of the same formula = 16.3 meV/atom
crystal system = monoclinic
M_tot = 0.00 Bohr magnetons per cell
energy of formation = 3.17 eV per formula unit
space-group type = No. 12

=====

Entry 4:
Here is crystalline La2PmPr2Ag5 at its relaxed geometry from the Alexandria database. Energies are from PBE.

Structure (extended XYZ):
```
20
Lattice="11.138 0.000 0.000 0.000 11.138 0.000 0.000 0.000 4.411" Properties=species:S:1:pos:R:3 pbc="T T T"
La 1.917 3.652 0.000
La 3.652 9.222 0.000
La 7.486 1.917 0.000
La 9.222 7.486 0.000
Pm 0.000 0.000 0.000
Pm 5.569 5.569 0.000
Pr 1.442 7.011 0.000
Pr 4.128 1.442 0.000
Pr 7.011 9.697 0.000
Pr 9.697 4.128 0.000
Ag 0.000 5.569 2.205
Ag 0.688 9.070 2.205
Ag 2.068 0.688 2.205
Ag 3.501 6.257 2.205
Ag 4.881 3.501 2.205
Ag 5.569 0.000 2.205
Ag 6.257 7.637 2.205
Ag 7.637 4.881 2.205
Ag 9.070 10.450 2.205
Ag 10.450 2.068 2.205
```

Summary:
crystal system = tetragonal
M_tot = 0.00 Bohr magnetons per cell
energy of formation = -1.09 eV per formula unit
space-group type = No. 127

=====

Entry 5:
Here is crystalline Pm2NdMgN at its relaxed geometry from the Alexandria database. Energies are from PBE.

Structure (extended XYZ):
```
5
Lattice="5.032 0.000 0.000 0.000 5.032 0.000 0.000 0.000 5.093" Properties=species:S:1:pos:R:3 pbc="T T T"
Pm 0.000 2.516 0.000
Pm 2.516 0.000 0.000
Nd 0.000 0.000 2.546
Mg 2.516 2.516 2.546
N 0.000 0.000 0.000
```

Summary:
crystal system = tetragonal
M_tot = 0.00 Bohr magnetons per cell
E_form (uncorrected) = -0.608 eV per atom
space-group type = No. 123

=====

Entry 6:
Here is crystalline Np3Te2As at its relaxed geometry from the Alexandria database. Energies are from PBE.

Structure (extended XYZ):
```
24
Lattice="0.000 6.075 12.989 4.257 0.000 12.989 4.257 6.075 0.000" Properties=species:S:1:pos:R:3 pbc="T T T"
Np 3.086 1.412 7.488
Np 5.493 4.556 9.742
Np 3.299 1.412 11.996
Np 5.427 4.450 13.982
Np 7.621 7.594 16.236
Np 5.215 4.450 18.490
Np 3.299 7.701 7.488
Np 0.893 4.556 9.742
Np 3.086 7.701 11.996
Np 5.215 10.739 13.982
Np 3.021 7.594 16.236
Np 5.427 10.739 18.490
Te 3.193 4.556 3.337
Te 3.193 4.556 7.626
Te 5.321 7.594 9.832
Te 3.193 4.556 11.858
Te 5.321 7.594 14.120
Te 3.193 4.556 16.146
Te 5.321 7.594 18.352
Te 5.321 7.594 22.640
As 1.064 1.519 1.088
As 1.064 1.519 5.406
As 7.449 10.632 20.572
As 7.449 10.632 24.889
```

Summary:
crystal system = orthorhombic
M_tot = 17.05 Bohr magnetons per cell
E_form (uncorrected) = -0.573 eV per atom
space-group type = No. 70

=====

Entry 7:
Here is crystalline HoEr2Ti at its relaxed geometry from the Alexandria database. Energies are from PBE.

Structure (extended XYZ):
```
4
Lattice="3.369 0.000 0.000 0.000 3.369 0.000 0.000 0.000 9.460" Properties=species:S:1:pos:R:3 pbc="T T T"
Ho 0.000 0.000 0.000
Er 1.685 1.685 2.647
Er 1.685 1.685 6.813
Ti 0.000 0.000 4.730
```

Summary:
distance to the lowest polymorph of the same formula = 0.0 meV/atom
crystal system = tetragonal
M_tot = 0.00 Bohr magnetons per cell
energy of formation = 0.62 eV per formula unit
space-group type = No. 123

=====

Entry 8:
Here is crystalline Pa4RuSe5 at its relaxed geometry from the Alexandria database. Energies are from PBE.

Structure (extended XYZ):
```
10
Lattice="8.867 -2.000 0.000 8.867 2.000 0.000 -2.086 0.000 7.911" Properties=species:S:1:pos:R:3 pbc="T T T"
Pa -0.536 0.000 2.103
Pa 5.149 0.000 3.180
Pa 10.499 0.000 4.731
Pa 16.184 0.000 5.808
Ru 7.824 0.000 3.955
Se 1.185 0.000 6.677
Se 2.309 0.000 2.721
Se 8.867 0.000 0.000
Se 13.339 0.000 5.190
Se 14.463 0.000 1.234
```

Summary:
crystal system = monoclinic
M_tot = 2.31 Bohr magnetons per cell
E_form (uncorrected) = -1.104 eV per atom
space-group type = No. 12

=====

Electronic total energy (eV per atom)
-7.12, -4.51, -4.73, -3.95, -5.45, -8.87, -5.24, -7.57